# 1
# InReW2

A relaxed structure of InReW2 (PBE, Alexandria via LeMat-Bulk).

Calculated values
total DFT energy (no corrections): -9.253 eV/atom
energy of formation: 1.020 eV/atom

Cell: 7.5947 7.5947 5.4195 Å, 90.00 90.00 90.00°
Last column: nearest neighbours and their distance in Å.
Space group I-42d (No. 122)
Unique sites:
In 0.0000 0.0000 0.0000 (multiplicity 4)  2 Re 2.71
Re 0.0000 0.0000 0.5000 (multiplicity 4)  4 W 2.50, 2 In 2.71
W 0.1938 0.2500 0.6250 (multiplicity 8)  2 Re 2.50

# 2
# InReW2

A relaxed structure of InReW2 (PBE, Alexandria via LeMat-Bulk).

Calculated values
total DFT energy (no corrections): -9.801 eV/atom
energy of formation: 0.472 eV/atom

Cell: 2.8003 4.4498 5.5574 Å, 90.00 103.57 90.00°
Last column: nearest neighbours and their distance in Å.
Space group Pm (No. 6)
Unique sites:
In 0.0000 0.0000 0.0000 (multiplicity 1)  6 W 2.80-3.04, 2 In 2.80, 2 Re 2.84
Re 0.7430 0.5000 0.2616 (multiplicity 1)  4 W 2.71-2.83, 2 Re 2.80, 2 In 2.84
W 0.3256 0.5000 0.7452 (multiplicity 1)  4 W 2.75-2.80, 2 Re 2.80-2.83, 4 In 2.90-3.04
W 0.5338 0.0000 0.4958 (multiplicity 1)  2 Re 2.71, 4 W 2.75-2.80, 2 In 2.80-2.81